No. 1
Computed, not measured: crystalline Pu3TeO at its relaxed geometry at the GGA-PBE level of DFT.

```
data_Pu3TeO
_space_group_name_H-M_alt 'P 1'
_space_group_IT_number 1
_space_group_name_Hall 'P 1'
_cell_length_a 4.8813
_cell_length_b 4.8813
_cell_length_c 4.8813
_cell_angle_alpha 90.00
_cell_angle_beta 90.00
_cell_angle_gamma 90.00
loop_
_atom_site_label
_atom_site_type_symbol
_atom_site_fract_x
_atom_site_fract_y
_atom_site_fract_z
O1 O 0.0000 0.0000 0.0000
Te1 Te 0.5000 0.5000 0.5000
Pu1 Pu 0.0000 0.5000 0.0000
Pu2 Pu 0.0000 0.0000 0.5000
Pu3 Pu 0.5000 0.0000 0.0000
```

Output
E_form (uncorrected) ... -1.190 eV/atom
SG ... Pm-3m, No. 221
Theoretical density ... 12.5 g cm⁻³
VASP energy ... -11.409 eV per atom

No. 2
Computed, not measured: crystalline NaPrTe2O6 at its relaxed geometry at the GGA-PBE level of DFT.

```
data_NaPrTe2O6
_space_group_name_H-M_alt 'P 1'
_space_group_IT_number 1
_space_group_name_Hall 'P 1'
_cell_length_a 6.8917
_cell_length_b 6.9762
_cell_length_c 6.9762
_cell_angle_alpha 99.56
_cell_angle_beta 86.36
_cell_angle_gamma 86.36
loop_
_atom_site_label
_atom_site_type_symbol
_atom_site_fract_x
_atom_site_fract_y
_atom_site_fract_z
O1 O 0.2001 0.5552 0.9821
O2 O 0.0610 0.7123 0.4036
O3 O 0.4096 0.1936 0.0483
O4 O 0.4390 0.5964 0.2877
O5 O 0.9390 0.2877 0.5964
O6 O 0.9096 0.0483 0.1936
O7 O 0.5610 0.4036 0.7123
O8 O 0.7001 0.9821 0.5552
O9 O 0.0904 0.9517 0.8064
O10 O 0.5904 0.8064 0.9517
O11 O 0.7999 0.4448 0.0179
O12 O 0.2999 0.0179 0.4448
Pr1 Pr 0.7500 0.1110 0.8890
Pr2 Pr 0.2500 0.8890 0.1110
Te1 Te 0.2493 0.8075 0.5768
Te2 Te 0.7507 0.1925 0.4232
Te3 Te 0.7493 0.5768 0.8075
Te4 Te 0.2507 0.4232 0.1925
Na1 Na 0.2500 0.2898 0.7102
Na2 Na 0.7500 0.7102 0.2898
```

Output
E_form (uncorrected) ... -1.747 eV/atom
SG ... C2/c, No. 15
Theoretical density ... 5.2 g cm⁻³
VASP energy ... -5.961 eV per atom

No. 3
Computed, not measured: crystalline RbReSCl2 at its relaxed geometry at the GGA-PBE level of DFT.

```
data_RbReSCl2
_space_group_name_H-M_alt 'P 1'
_space_group_IT_number 1
_space_group_name_Hall 'P 1'
_cell_length_a 5.1497
_cell_length_b 5.1497
_cell_length_c 4.5044
_cell_angle_alpha 90.00
_cell_angle_beta 90.00
_cell_angle_gamma 90.00
loop_
_atom_site_label
_atom_site_type_symbol
_atom_site_fract_x
_atom_site_fract_y
_atom_site_fract_z
Cl1 Cl 0.5000 0.0000 0.0000
Cl2 Cl 0.0000 0.5000 0.0000
S1 S 0.0000 0.0000 0.5000
Re1 Re 0.0000 0.0000 0.0000
Rb1 Rb 0.5000 0.5000 0.5000
```

Output
E_form (uncorrected) ... -0.565 eV/atom
SG ... P4/mmm, No. 123
Theoretical density ... 5.2 g cm⁻³
VASP energy ... -4.813 eV per atom

No. 4
Computed, not measured: crystalline LaInHPb2 at its relaxed geometry at the GGA-PBE level of DFT.

```
data_LaInHPb2
_space_group_name_H-M_alt 'P 1'
_space_group_IT_number 1
_space_group_name_Hall 'P 1'
_cell_length_a 5.0731
_cell_length_b 5.0731
_cell_length_c 4.7366
_cell_angle_alpha 90.00
_cell_angle_beta 90.00
_cell_angle_gamma 90.00
loop_
_atom_site_label
_atom_site_type_symbol
_atom_site_fract_x
_atom_site_fract_y
_atom_site_fract_z
In1 In 0.5000 0.5000 0.5000
Pb1 Pb 0.0000 0.5000 0.0000
Pb2 Pb 0.5000 0.0000 0.0000
La1 La 0.0000 0.0000 0.5000
H1 H 0.0000 0.0000 0.0000
```

Output
SG ... P4/mmm, No. 123
Theoretical density ... 9.1 g cm⁻³
VASP energy ... -3.944 eV per atom